(1)
A plane-wave DFT calculation with PBE was carried out for a relaxed CaAg4Ge crystal.

Cell: 5.589 5.589 5.589 Å, 60.00 60.00 60.00°
Element x y z (fractional)
Ca  0.000  0.000  0.000
Ag  0.625  0.625  0.625
Ge  0.250  0.250  0.250
Ag  0.625  0.625  0.125
Ag  0.125  0.625  0.625
Ag  0.625  0.125  0.625

Values from the calculation:
D(E_F): 1.36 states/eV/cell
final energy: -18.78 eV/cell

(2)
A plane-wave DFT calculation with PBE was carried out for a relaxed ZrCuAu crystal.

Cell: 4.531 4.531 2.933 Å, 90.00 90.00 120.00°
Element x y z (fractional)
Cu  0.667  0.333  0.167
Zr  0.333  0.667  0.667
Au  0.000  0.000  0.167

Values from the calculation:
D(E_F): 2.63 states/eV/cell
energy above the most stable polymorph in this dataset: 0 meV per atom
final energy: -17.02 eV/cell

(3)
A plane-wave DFT calculation with PBE was carried out for a relaxed AlPbW2 crystal.

Cell: 4.943 4.943 5.011 Å, 83.18 83.18 38.98°
Element x y z (fractional)
Al  0.750  0.750  0.750
Pb  0.250  0.250  0.250
W  0.004  0.004  0.941
W  0.496  0.496  0.559

Values from the calculation:
D(E_F): 2.14 states/eV/cell
energy above the most stable polymorph in this dataset: 197 meV per atom
final energy: -31.04 eV/cell

(4)
A plane-wave DFT calculation with PBE was carried out for a relaxed Ac2TbAl crystal.

Cell: 4.997 5.177 5.177 Å, 90.00 90.00 90.00°
Element x y z (fractional)
Ac  0.000  0.000  0.500
Ac  0.000  0.500  0.000
Tb  0.500  0.500  0.500
Al  0.500  0.000  0.000

Values from the calculation:
D(E_F): 6.12 states/eV/cell
energy above the most stable polymorph in this dataset: 19 meV per atom
final energy: -16.73 eV/cell

(5)
A plane-wave DFT calculation with PBE was carried out for a relaxed PaCo4Tc crystal.

Cell: 4.881 4.881 4.881 Å, 60.00 60.00 60.00°
Element x y z (fractional)
Co  0.625  0.625  0.625
Co  0.625  0.625  0.126
Co  0.126  0.625  0.625
Tc  0.250  0.250  0.250
Pa  0.000  0.000  0.000
Co  0.625  0.126  0.625

Values from the calculation:
D(E_F): 9.69 states/eV/cell
final energy: -48.71 eV/cell

(6)
A plane-wave DFT calculation with PBE was carried out for a relaxed InReNi6 crystal.

Cell: 6.368 6.368 10.408 Å, 90.00 90.00 109.44°
Element x y z (fractional)
Ni  0.888  0.631  0.131
Ni  0.500  0.500  0.250
Ni  0.363  0.118  0.881
In  0.254  0.746  0.750
In  0.746  0.254  0.750
Ni  0.500  0.500  0.750
Ni  0.243  0.757  0.489
Ni  0.882  0.637  0.619
Re  0.253  0.747  0.250
Ni  0.631  0.888  0.369
Ni  0.112  0.369  0.369
In  0.500  0.500  0.498
Ni  0.000  0.000  0.250
Ni  0.637  0.882  0.619
Ni  0.882  0.637  0.881
Re  0.000  0.000  0.996
Re  0.000  0.000  0.504
Ni  0.888  0.631  0.369
Ni  0.757  0.243  0.011
Ni  0.369  0.112  0.131
Ni  0.363  0.118  0.619
Ni  0.112  0.369  0.131
Ni  0.631  0.888  0.131
In  0.500  0.500  0.002
Ni  0.000  0.000  0.750
Ni  0.369  0.112  0.369
Ni  0.243  0.757  0.011
Ni  0.118  0.363  0.881
Ni  0.757  0.243  0.489
Re  0.747  0.253  0.250
Ni  0.637  0.882  0.881
Ni  0.118  0.363  0.619

Values from the calculation:
D(E_F): 36.66 states/eV/cell
final energy: -199.48 eV/cell

(7)
A plane-wave DFT calculation with PBE was carried out for a relaxed AlTl2Fe crystal.

Cell: 5.564 5.767 3.219 Å, 75.71 86.17 117.63°
Element x y z (fractional)
Al  0.000  0.500  0.500
Fe  0.500  0.500  0.000
Tl  0.000  0.000  0.000
Tl  0.500  0.000  0.500

Values from the calculation:
D(E_F): 2.66 states/eV/cell
energy above the most stable polymorph in this dataset: 318 meV per atom
final energy: -14.59 eV/cell

(8)
A plane-wave DFT calculation with PBE was carried out for a relaxed Ba5Na4Hg2 crystal.

Cell: 4.497 10.116 21.911 Å, 90.00 90.00 90.00°
Element x y z (fractional)
Ba  0.000  0.738  0.785
Ba  0.000  0.238  0.715
Na  0.500  0.079  0.347
Hg  0.500  0.019  0.796
Na  0.500  0.579  0.153
Na  0.500  0.421  0.847
Na  0.500  0.299  0.563
Na  0.500  0.799  0.937
Na  0.500  0.921  0.653
Ba  0.000  0.500  0.000
Ba  0.000  0.114  0.908
Ba  0.000  0.262  0.215
Ba  0.000  0.762  0.285
Ba  0.000  0.886  0.092
Ba  0.000  0.614  0.592
Na  0.500  0.201  0.063
Hg  0.500  0.481  0.296
Ba  0.000  0.000  0.500
Ba  0.000  0.386  0.408
Hg  0.500  0.519  0.704
Hg  0.500  0.981  0.204
Na  0.500  0.701  0.437

Values from the calculation:
D(E_F): 22.87 states/eV/cell
final energy: -35.19 eV/cell

Respective E_form values: -0.13, -0.37, 0.58, -0.04, -0.07, 0.00, 0.59, -0.19 eV/atom.